Below is SrTaCl2 after structural relaxation, with properties calculated at the PBE level.

Unit cell a=3.3582 b=3.3577 c=9.7986 alpha=70.05 beta=90.00 gamma=90.00
Closest atoms and distances in Å follow each position.
Sites, in units of the cell vectors:
1 Sr 0.0000 0.5102 0.4891  4 Cl 2.90
2 Cl 0.0000 0.0801 0.9212  4 Ta 2.70
3 Cl 0.5000 0.1903 0.3083  4 Sr 2.90
4 Ta 0.5000 0.7194 0.7814  4 Cl 2.70

**Uncorrected formation energy**: -0.58 eV/atom
**Polymorph energy (0 for the lowest one)**: 70 meV per atom


Below is SrTa2Cl after structural relaxation, with properties calculated at the PBE level.

Unit cell a=3.0232 b=3.0232 c=9.1536 alpha=90.00 beta=90.00 gamma=90.00
Closest atoms and distances in Å follow each position.
Sites, in units of the cell vectors:
1 Cl 0.5000 0.5000 0.2500  8 Ta 2.75, 4 Cl 3.02
2 Sr 0.5000 0.5000 0.7500  4 Sr 3.02
3 Ta 0.0000 0.0000 0.0611  4 Cl 2.75, 4 Ta 3.02
4 Ta 0.0000 0.0000 0.4389  4 Cl 2.75, 4 Ta 3.02

**Uncorrected formation energy**: 0.84 eV/atom
**Polymorph energy (0 for the lowest one)**: 906 meV per atom


Below is SrTaCl2 after structural relaxation, with properties calculated at the PBE level.

Unit cell a=4.3197 b=3.3220 c=6.1246 alpha=89.99 beta=90.00 gamma=90.00
Closest atoms and distances in Å follow each position.
Sites, in units of the cell vectors:
1 Sr 0.5000 0.2500 0.2500  8 Cl 3.17, 2 Sr 3.32, 4 Ta 3.48
2 Cl 0.0000 0.7504 0.9843  2 Ta 2.59, 1 Cl 2.87
3 Cl 0.0000 0.7496 0.5157  2 Ta 2.59, 1 Cl 2.87
4 Ta 0.5000 0.7500 0.7500  4 Cl 2.59

**Uncorrected formation energy**: -0.48 eV/atom
**Polymorph energy (0 for the lowest one)**: 174 meV per atom